[1]
A plane-wave DFT calculation with PBE was carried out for a geometry-optimized MgPaSiPd structure.

CIF file:
```
data_MgPaSiPd
_chemical_formula_sum 'Mg4 Pa4 Si4 Pd4'
_cell_length_a 6.7879
_cell_length_b 6.7879
_cell_length_c 6.7879
_cell_angle_alpha 90.00
_cell_angle_beta 90.00
_cell_angle_gamma 90.00
_space_group_name_H-M_alt 'F -4 3 m'
_space_group_IT_number 216
_space_group_name_Hall 'F -4 2 3'
loop_
_atom_site_label
_atom_site_fract_x
_atom_site_fract_y
_atom_site_fract_z
_atom_site_occupancy
Mg1 0.0000 0.0000 0.0000 1
Pa1 0.0000 0.0000 0.5000 1
Si1 0.2500 0.2500 0.7500 1
Pd1 0.2500 0.2500 0.2500 1
```

Results
E_form (uncorrected): -0.37 eV/atom
total magnetic moment: 1.9 Bohr magnetons per cell

=====

[2]
A plane-wave DFT calculation with PBE was carried out for a geometry-optimized Al2Cd2Au structure.

CIF file:
```
data_Al2Cd2Au
_chemical_formula_sum 'Al4 Cd4 Au2'
_cell_length_a 7.1992
_cell_length_b 7.1992
_cell_length_c 4.0983
_cell_angle_alpha 90.00
_cell_angle_beta 90.00
_cell_angle_gamma 90.00
_space_group_name_H-M_alt 'P 4/m b m'
_space_group_IT_number 127
_space_group_name_Hall '-P 4 2ab'
loop_
_atom_site_label
_atom_site_fract_x
_atom_site_fract_y
_atom_site_fract_z
_atom_site_occupancy
Al1 0.1588 0.3412 0.0000 1
Cd1 0.1435 0.6435 0.5000 1
Au1 0.0000 0.0000 0.5000 1
```

Results
offset from the most stable computed form: 0.238 eV/atom
total magnetic moment: 0.0 Bohr magnetons per cell

=====

[3]
A plane-wave DFT calculation with PBE was carried out for a geometry-optimized Tb3PtPb structure.

CIF file:
```
data_Tb3PtPb
_chemical_formula_sum 'Tb6 Pt2 Pb2'
_cell_length_a 4.6247
_cell_length_b 6.8814
_cell_length_c 8.9635
_cell_angle_alpha 90.00
_cell_angle_beta 90.00
_cell_angle_gamma 90.00
_space_group_name_H-M_alt 'P m m n'
_space_group_IT_number 59
loop_
_space_group_symop_operation_xyz
'x,y,z'
'-x,-y,-z'
'-x+1/2,-y+1/2,z'
'x+1/2,y+1/2,-z'
'x+1/2,-y,-z'
'-x+1/2,y,z'
'-x,y+1/2,-z'
'x,-y+1/2,z'
loop_
_atom_site_label
_atom_site_fract_x
_atom_site_fract_y
_atom_site_fract_z
_atom_site_occupancy
Tb1 0.2500 0.0022 0.1591 1
Tb2 0.2500 0.2500 0.5796 1
Pt1 0.2500 0.2500 0.9010 1
Pb1 0.2500 0.7500 0.6473 1
```

Results
total magnetic moment: 0.0 Bohr magnetons per cell

=====

So what do the calculations give for final energy? Going down the list: -5.800; -2.308; -5.470 eV per atom.
So what do the calculations give for V? Going down the list: 313; 212; 285 Å³/cell.